[1]
3
Lattice="0.0000 3.7229 3.7229 3.7229 0.0000 3.7229 3.7229 3.7229 0.0000" Properties=species:S:1:pos:R:3 comment="PmZrBi PBE-GGA optimized geometry" spacegroup="F-43m, No. 216" crystal_system=cubic pbc="T T T"
Zr 5.5843 5.5843 5.5843
Pm 0.0000 0.0000 0.0000
Bi 1.8614 1.8614 1.8614



[2]
2
Lattice="-2.9748 -2.8493 -1.6961 3.5943 -1.5406 2.1342 -2.0952 0.0608 3.5727" Properties=species:S:1:pos:R:3 comment="PrBi PBE-GGA optimized geometry" spacegroup="P-6m2, No. 187" crystal_system=hexagonal pbc="T T T"
Pr 0.8809 -1.9617 1.7506
Bi -2.3566 -2.3674 2.2602



[3]
4
Lattice="-2.7195 1.0600 3.5754 -1.7059 0.0402 -4.2885 -1.9695 -7.4598 0.7135" Properties=species:S:1:pos:R:3 comment="PrBi PBE-GGA optimized geometry" spacegroup="P6_3/mmc, No. 194" crystal_system=hexagonal pbc="T T T"
Pr 0.0000 0.0000 0.0000
Pr -0.9848 -3.7299 0.3567
Bi -2.8740 -1.1449 1.1325
Bi -3.5209 -5.2147 -1.1321



[4]
8
Lattice="6.7432 0.0000 0.0000 0.0000 6.2642 0.0000 0.0000 0.0000 6.3154" Properties=species:S:1:pos:R:3 comment="PrBi PBE-GGA optimized geometry" spacegroup="Pmma, No. 51" crystal_system=orthorhombic pbc="T T T"
Bi 1.6858 0.0000 1.9999
Bi 1.6858 3.1321 6.2315
Bi 5.0574 0.0000 4.3156
Bi 5.0574 3.1321 0.0839
Pr 3.3716 3.1321 3.1577
Pr 0.0000 3.1321 3.1577
Pr 1.6858 0.0000 5.1211
Pr 5.0574 0.0000 1.1944



[5]
2
Lattice="-1.7260 -1.1760 -3.4038 3.4849 -1.4967 -1.2500 -0.9076 -3.5106 1.6731" Properties=species:S:1:pos:R:3 comment="PrBi PBE-GGA optimized geometry" spacegroup="Pm-3m, No. 221" crystal_system=cubic pbc="T T T"
Pr 0.4257 -3.0917 -1.4903
Bi 0.0000 0.0000 0.0000



[6]
6
Lattice="4.6134 0.0000 0.0000 -2.3067 3.9954 0.0000 0.0000 0.0000 11.3594" Properties=species:S:1:pos:R:3 comment="PrBi PBE-GGA optimized geometry" spacegroup="P-3m1, No. 164" crystal_system=trigonal pbc="T T T"
Bi 0.0000 2.6636 3.7820
Bi 0.0000 0.0000 0.0000
Bi 2.3067 1.3318 7.5774
Pr 0.0000 0.0000 5.6797
Pr 0.0000 2.6636 9.4673
Pr 2.3067 1.3318 1.8921



[7]
2
Lattice="1.1133 -4.8899 1.1733 -2.1269 -2.2030 4.1413 -3.5717 -3.6650 -0.5812" Properties=species:S:1:pos:R:3 comment="PrBi PBE-GGA optimized geometry" spacegroup="F-43m, No. 216" crystal_system=cubic pbc="T T T"
Bi 0.0000 0.0000 0.0000
Pr -1.1463 -2.6895 1.1833



[8]
2
Lattice="0.0000 3.2696 3.2696 3.2696 0.0000 3.2696 3.2696 3.2696 0.0000" Properties=species:S:1:pos:R:3 comment="PrBi PBE-GGA optimized geometry" spacegroup="Fm-3m, No. 225" crystal_system=cubic pbc="T T T"
Bi 0.0000 0.0000 0.0000
Pr 3.2696 3.2696 3.2696



Values of electronic total energy, in order: -0.389, -0.380, -0.387, -0.371, -0.377, -0.396, -0.356, -0.396, all in Ry/atom.